No. 1
A relaxed TiGe3Bi crystal. Source: the Alexandria database, functional PBE.

Output
The space group is Pm-3m (221). As for the density of states at the Fermi level: 3.30 states/eV per cell. For the energy above the lowest structure with this stoichiometry, the calculation gives 0.000 eV per atom.

Lattice parameters (Å, degrees): 4.981 4.981 4.981 90.00 90.00 90.00
Fractional coordinates of all 5 atoms:
Ti1 0.000 0.000 0.000
Ge1 0.000 0.000 0.500
Ge2 0.000 0.500 0.000
Ge3 0.500 0.000 0.000
Bi1 0.500 0.500 0.500


No. 2
A relaxed SiSn crystal. Source: the Alexandria database, functional PBE.

Output
The space group is Pmma (51). As for the density of states at the Fermi level: 0.32 states/eV per cell. As for the uncorrected formation energy: 0.16 eV per atom.

Lattice parameters (Å, degrees): 4.211 4.291 6.105 90.00 90.00 90.00
Fractional coordinates of all 4 atoms:
Si1 0.250 0.000 0.103
Si2 0.750 0.000 0.897
Sn1 0.250 0.500 0.350
Sn2 0.750 0.500 0.650


No. 3
A relaxed LiSi2Br2 crystal. Source: the Alexandria database, functional PBE.

Output
The space group is I4/mmm (139). As for the density of states at the Fermi level: 2.83 states/eV per cell. For the energy above the lowest structure with this stoichiometry, the calculation gives 0.000 eV per atom. As for the uncorrected formation energy: -0.25 eV per atom.

Lattice parameters (Å, degrees): 3.555 3.555 17.196 90.00 90.00 90.00
Fractional coordinates of all 10 atoms:
Li1 0.000 0.000 0.000
Li2 0.500 0.500 0.500
Si1 0.000 0.500 0.250
Si2 0.000 0.500 0.750
Si3 0.500 0.000 0.250
Si4 0.500 0.000 0.750
Br1 0.000 0.000 0.404
Br2 0.000 0.000 0.596
Br3 0.500 0.500 0.096
Br4 0.500 0.500 0.904